Model P:
VASP calculation (PBE) on a geometry-optimized PmGe2Pd4 structure.

Unit cell a=17.340 b=4.270 c=6.746 alpha=90.00 beta=90.00 gamma=90.00
Atoms (fractional coordinates):
1 Pm 0.140 0.250 0.023
2 Pm 0.360 0.750 0.523
3 Pm 0.640 0.250 0.477
4 Pm 0.860 0.750 0.977
5 Ge 0.042 0.750 0.264
6 Ge 0.217 0.250 0.547
7 Ge 0.283 0.750 0.047
8 Ge 0.458 0.250 0.764
9 Ge 0.542 0.750 0.236
10 Ge 0.717 0.250 0.953
11 Ge 0.783 0.750 0.453
12 Ge 0.958 0.250 0.736
13 Pd 0.027 0.750 0.857
14 Pd 0.071 0.250 0.503
15 Pd 0.187 0.750 0.334
16 Pd 0.199 0.750 0.747
17 Pd 0.301 0.250 0.247
18 Pd 0.313 0.250 0.834
19 Pd 0.429 0.750 0.003
20 Pd 0.473 0.250 0.357
21 Pd 0.527 0.750 0.643
22 Pd 0.571 0.250 0.997
23 Pd 0.687 0.750 0.166
24 Pd 0.699 0.750 0.753
25 Pd 0.801 0.250 0.253
26 Pd 0.813 0.250 0.666
27 Pd 0.929 0.750 0.497
28 Pd 0.973 0.250 0.143

- space-group type = Pnma (62)
- calculated density (g/cm3) = 9.520
- volume (Å³ per cell) = 499.5

=====

Model Q:
VASP calculation (PBE) on a geometry-optimized PmGe2Pd4 structure.

Unit cell a=7.927 b=7.927 c=3.939 alpha=90.00 beta=90.00 gamma=90.00
Atoms (fractional coordinates):
1 Pm 0.000 0.000 0.000
2 Pm 0.500 0.500 0.500
3 Ge 0.221 0.221 0.500
4 Ge 0.279 0.721 0.000
5 Ge 0.721 0.279 0.000
6 Ge 0.779 0.779 0.500
7 Pd 0.082 0.668 0.500
8 Pd 0.168 0.418 0.000
9 Pd 0.332 0.918 0.500
10 Pd 0.418 0.168 0.000
11 Pd 0.582 0.832 0.000
12 Pd 0.668 0.082 0.500
13 Pd 0.832 0.582 0.000
14 Pd 0.918 0.332 0.500

- space-group type = P4_2/mnm (136)
- calculated density (g/cm3) = 9.605
- volume (Å³ per cell) = 247.6

=====

model Q ends up most stable, edging out the next structure by 54 meV per atom.

=====

Model P:
VASP calculation (PBE) on a geometry-optimized PmGe3Pd3 structure.

Unit cell a=8.468 b=8.468 c=4.455 alpha=90.00 beta=90.00 gamma=120.00
Atoms (fractional coordinates):
1 Pm 0.333 0.667 0.250
2 Pm 0.667 0.333 0.750
3 Ge 0.105 0.396 0.750
4 Ge 0.290 0.895 0.750
5 Ge 0.396 0.290 0.250
6 Ge 0.604 0.710 0.750
7 Ge 0.710 0.105 0.250
8 Ge 0.895 0.604 0.250
9 Pd 0.075 0.240 0.250
10 Pd 0.166 0.925 0.250
11 Pd 0.240 0.166 0.750
12 Pd 0.760 0.834 0.250
13 Pd 0.834 0.075 0.750
14 Pd 0.925 0.760 0.750

- space-group type = P6_3/m (176)
- calculated density (g/cm3) = 8.189
- volume (Å³ per cell) = 276.7

=====

Model Q:
VASP calculation (PBE) on a geometry-optimized PmGe3Pd3 structure.

Unit cell a=6.792 b=6.792 c=6.792 alpha=90.00 beta=90.00 gamma=90.00
Atoms (fractional coordinates):
1 Pm 0.000 0.000 0.000
2 Pm 0.500 0.500 0.500
3 Ge 0.000 0.250 0.500
4 Ge 0.000 0.750 0.500
5 Ge 0.250 0.500 0.000
6 Ge 0.500 0.000 0.250
7 Ge 0.500 0.000 0.750
8 Ge 0.750 0.500 0.000
9 Pd 0.000 0.500 0.250
10 Pd 0.000 0.500 0.750
11 Pd 0.250 0.000 0.500
12 Pd 0.500 0.250 0.000
13 Pd 0.500 0.750 0.000
14 Pd 0.750 0.000 0.500

- space-group type = Pm-3n (223)
- calculated density (g/cm3) = 7.232
- volume (Å³ per cell) = 313.3

=====

model P ends up most stable, edging out the next structure by 194 meV per atom.

=====

Model P:
VASP calculation (PBE) on a geometry-optimized Pm3Ge2Pd structure.

Unit cell a=7.532 b=7.532 c=7.532 alpha=63.76 beta=63.76 gamma=63.76
Atoms (fractional coordinates):
1 Pm 0.055 0.750 0.445
2 Pm 0.250 0.555 0.945
3 Pm 0.445 0.055 0.750
4 Pm 0.555 0.945 0.250
5 Pm 0.750 0.445 0.055
6 Pm 0.945 0.250 0.555
7 Ge 0.146 0.146 0.146
8 Ge 0.354 0.354 0.354
9 Ge 0.646 0.646 0.646
10 Ge 0.854 0.854 0.854
11 Pd 0.000 0.000 0.000
12 Pd 0.500 0.500 0.500

- space-group type = R-3c (167)
- calculated density (g/cm3) = 6.970
- volume (Å³ per cell) = 327.2

=====

Model Q:
VASP calculation (PBE) on a geometry-optimized Pm3Ge2Pd structure.

Unit cell a=11.890 b=4.382 c=11.644 alpha=90.00 beta=90.00 gamma=90.00
Atoms (fractional coordinates):
1 Pm 0.054 0.250 0.128
2 Pm 0.123 0.750 0.560
3 Pm 0.216 0.250 0.807
4 Pm 0.284 0.750 0.307
5 Pm 0.377 0.250 0.060
6 Pm 0.446 0.750 0.628
7 Pm 0.554 0.250 0.372
8 Pm 0.623 0.750 0.940
9 Pm 0.716 0.250 0.693
10 Pm 0.784 0.750 0.193
11 Pm 0.877 0.250 0.440
12 Pm 0.946 0.750 0.872
13 Ge 0.013 0.750 0.312
14 Ge 0.187 0.750 0.002
15 Ge 0.313 0.250 0.502
16 Ge 0.487 0.250 0.812
17 Ge 0.513 0.750 0.188
18 Ge 0.687 0.750 0.498
19 Ge 0.813 0.250 0.998
20 Ge 0.987 0.250 0.688
21 Pd 0.128 0.250 0.373
22 Pd 0.372 0.750 0.873
23 Pd 0.628 0.250 0.127
24 Pd 0.872 0.750 0.627

- space-group type = Pnma (62)
- calculated density (g/cm3) = 7.519
- volume (Å³ per cell) = 606.6

=====

model Q ends up most stable, edging out the next structure by 126 meV per atom.

=====

Model P:
VASP calculation (PBE) on a geometry-optimized PmGe2Pd2 structure.

Unit cell a=4.328 b=4.328 c=10.179 alpha=90.00 beta=90.00 gamma=90.00
Atoms (fractional coordinates):
1 Pm 0.000 0.000 0.000
2 Pm 0.500 0.500 0.500
3 Ge 0.000 0.000 0.378
4 Ge 0.000 0.000 0.622
5 Ge 0.500 0.500 0.122
6 Ge 0.500 0.500 0.878
7 Pd 0.000 0.500 0.250
8 Pd 0.000 0.500 0.750
9 Pd 0.500 0.000 0.250
10 Pd 0.500 0.000 0.750

- space-group type = I4/mmm (139)
- calculated density (g/cm3) = 8.764
- volume (Å³ per cell) = 190.6

=====

Model Q:
VASP calculation (PBE) on a geometry-optimized PmGe2Pd2 structure.

Unit cell a=3.840 b=3.840 c=18.514 alpha=90.00 beta=90.00 gamma=90.00
Atoms (fractional coordinates):
1 Pm 0.000 0.000 0.000
2 Pm 0.500 0.500 0.500
3 Ge 0.000 0.000 0.162
4 Ge 0.000 0.000 0.838
5 Ge 0.500 0.500 0.338
6 Ge 0.500 0.500 0.662
7 Pd 0.000 0.500 0.250
8 Pd 0.000 0.500 0.750
9 Pd 0.500 0.000 0.250
10 Pd 0.500 0.000 0.750

- space-group type = I4/mmm (139)
- calculated density (g/cm3) = 6.121
- volume (Å³ per cell) = 273.0

=====

model P ends up most stable, edging out the next structure by 846 meV per atom.